--- 1 ---
An optimized crystal structure of KRu3S, computed with GGA-PBE.

abc: 4.4800 4.4800 4.4800
angles: 90.00 90.00 90.00
With the nearest neighbours (Å) after each atom.
Sites, in units of the cell vectors:
K: 0.0000 0.0000 0.0000  12 Ru 3.17
Ru: 0.0000 0.5000 0.5000  2 S 2.24
Ru: 0.5000 0.0000 0.5000  2 S 2.24
Ru: 0.5000 0.5000 0.0000  2 S 2.24
S: 0.5000 0.5000 0.5000  6 Ru 2.24

Computed properties:
Space-group type = No. 221


--- 2 ---
An optimized crystal structure of KRu3S, computed with GGA-PBE.

abc: 4.7971 4.7971 4.7971
angles: 90.00 90.00 90.00
With the nearest neighbours (Å) after each atom.
Sites, in units of the cell vectors:
K: 0.0000 0.0000 0.0000  6 Ru 2.40
Ru: 0.0000 0.0000 0.5000  2 K 2.40
Ru: 0.0000 0.5000 0.0000  2 K 2.40
Ru: 0.5000 0.0000 0.0000  2 K 2.40
S: 0.5000 0.5000 0.5000  12 Ru 3.39

Computed properties:
Space-group type = No. 221


Quick one: most stable of them? 1


--- 1 ---
An optimized crystal structure of KSb3Ru, computed with GGA-PBE.

abc: 5.2758 5.2758 5.2758
angles: 90.00 90.00 90.00
With the nearest neighbours (Å) after each atom.
Sites, in units of the cell vectors:
K: 0.0000 0.0000 0.0000  12 Sb 3.73
Sb: 0.0000 0.5000 0.5000  2 Ru 2.64
Sb: 0.5000 0.0000 0.5000  2 Ru 2.64
Sb: 0.5000 0.5000 0.0000  2 Ru 2.64
Ru: 0.5000 0.5000 0.5000  6 Sb 2.64

Computed properties:
Space-group type = No. 221


--- 2 ---
An optimized crystal structure of KSb3Ru, computed with GGA-PBE.

abc: 5.5192 5.5192 5.5192
angles: 90.00 90.00 90.00
With the nearest neighbours (Å) after each atom.
Sites, in units of the cell vectors:
K: 0.0000 0.0000 0.0000  6 Sb 2.76
Sb: 0.0000 0.0000 0.5000  2 K 2.76
Sb: 0.0000 0.5000 0.0000  2 K 2.76
Sb: 0.5000 0.0000 0.0000  2 K 2.76
Ru: 0.5000 0.5000 0.5000  12 Sb 3.90

Computed properties:
Space-group type = No. 221


Quick one: most stable of them? 1


--- 1 ---
An optimized crystal structure of KSbTe2Ru, computed with GGA-PBE.

abc: 5.5736 5.5736 5.0101
angles: 90.00 90.00 90.00
With the nearest neighbours (Å) after each atom.
Sites, in units of the cell vectors:
K: 0.0000 0.0000 0.0000  8 Te 3.75, 4 Sb 3.94
Sb: 0.5000 0.5000 0.0000  2 Ru 2.51
Te: 0.0000 0.5000 0.5000  2 Ru 2.79
Te: 0.5000 0.0000 0.5000  2 Ru 2.79
Ru: 0.5000 0.5000 0.5000  2 Sb 2.51, 4 Te 2.79

Computed properties:
Space-group type = No. 123


--- 2 ---
An optimized crystal structure of KSbTe2Ru, computed with GGA-PBE.

abc: 5.8717 5.8717 5.7006
angles: 90.00 90.00 90.00
With the nearest neighbours (Å) after each atom.
Sites, in units of the cell vectors:
K: 0.0000 0.0000 0.0000  2 Sb 2.85, 4 Te 2.94
Sb: 0.0000 0.0000 0.5000  2 K 2.85
Te: 0.0000 0.5000 0.0000  2 K 2.94
Te: 0.5000 0.0000 0.0000  2 K 2.94
Ru: 0.5000 0.5000 0.5000  8 Te 4.09, 4 Sb 4.15

Computed properties:
Space-group type = No. 123


Quick one: most stable of them? 1


--- 1 ---
An optimized crystal structure of KScRu3, computed with GGA-PBE.

abc: 4.5815 4.5815 4.5815
angles: 90.00 90.00 90.00
With the nearest neighbours (Å) after each atom.
Sites, in units of the cell vectors:
K: 0.0000 0.0000 0.0000  6 Ru 2.29
Sc: 0.5000 0.5000 0.5000  12 Ru 3.24
Ru: 0.0000 0.0000 0.5000  2 K 2.29
Ru: 0.0000 0.5000 0.0000  2 K 2.29
Ru: 0.5000 0.0000 0.0000  2 K 2.29

Computed properties:
Space-group type = No. 221


--- 2 ---
An optimized crystal structure of KScRu3, computed with GGA-PBE.

abc: 4.8717 4.8717 4.8717
angles: 90.00 90.00 90.00
With the nearest neighbours (Å) after each atom.
Sites, in units of the cell vectors:
K: 0.0000 0.0000 0.0000  12 Ru 3.44
Sc: 0.5000 0.5000 0.5000  6 Ru 2.44
Ru: 0.0000 0.5000 0.5000  2 Sc 2.44
Ru: 0.5000 0.0000 0.5000  2 Sc 2.44
Ru: 0.5000 0.5000 0.0000  2 Sc 2.44

Computed properties:
Space-group type = No. 221


Quick one: most stable of them? 2


--- 1 ---
An optimized crystal structure of KSc2Ru, computed with GGA-PBE.

abc: 4.9262 4.9262 3.5676
angles: 90.22 90.22 92.60
With the nearest neighbours (Å) after each atom.
Sites, in units of the cell vectors:
K: 0.0000 0.0000 0.0000  8 Sc 3.04-3.05
Sc: 0.0000 0.5000 0.5000  4 K 3.04-3.05, 4 Ru 3.04-3.05
Sc: 0.5000 0.0000 0.5000  4 K 3.04-3.05, 4 Ru 3.04-3.05
Ru: 0.5000 0.5000 0.0000  8 Sc 3.04-3.05

Computed properties:
Space-group type = No. 12


--- 2 ---
An optimized crystal structure of KSc2Ru, computed with GGA-PBE.

abc: 5.0079 5.0079 5.0079
angles: 60.00 60.00 60.00
With the nearest neighbours (Å) after each atom.
Sites, in units of the cell vectors:
K: 0.0000 0.0000 0.0000  4 Ru 3.07, 4 Sc 3.07
Sc: 0.5000 0.5000 0.5000  4 Ru 3.07, 4 Sc 3.07
Sc: 0.7500 0.7500 0.7500  4 K 3.07, 4 Sc 3.07
Ru: 0.2500 0.2500 0.2500  4 K 3.07, 4 Sc 3.07

Computed properties:
Space-group type = No. 216


Quick one: most stable of them? 1


--- 1 ---
An optimized crystal structure of KScRu2, computed with GGA-PBE.

abc: 3.1300 4.7199 4.8974
angles: 90.00 90.00 90.00
With the nearest neighbours (Å) after each atom.
Sites, in units of the cell vectors:
K: 0.0000 0.0000 0.0000  4 Ru 2.83, 4 Sc 2.91, 2 K 3.13
Sc: 0.5000 0.0000 0.5000  4 Ru 2.83, 4 K 2.91, 2 Sc 3.13
Ru: 0.0000 0.5000 0.5000  4 Sc 2.83, 6 Ru 2.91-3.13
Ru: 0.5000 0.5000 0.0000  4 K 2.83, 6 Ru 2.91-3.13

Computed properties:
Space-group type = No. 47


--- 2 ---
An optimized crystal structure of KScRu2, computed with GGA-PBE.

abc: 2.8980 2.8980 9.3506
angles: 90.00 90.00 90.00
With the nearest neighbours (Å) after each atom.
Sites, in units of the cell vectors:
K: 0.0000 0.0000 0.0000  4 K 2.90
Sc: 0.0000 0.0000 0.5000  8 Ru 2.81, 4 Sc 2.90
Ru: 0.5000 0.5000 0.2943  4 Sc 2.81, 4 Ru 2.90
Ru: 0.5000 0.5000 0.7057  4 Sc 2.81, 4 Ru 2.90

Computed properties:
Space-group type = No. 123


Quick one: most stable of them? 2


--- 1 ---
An optimized crystal structure of KSi2Ru2, computed with GGA-PBE.

abc: 6.2283 6.2283 6.2283
angles: 142.57 142.57 53.96
With the nearest neighbours (Å) after each atom.
Sites, in units of the cell vectors:
K: 0.0000 0.0000 0.0000  8 Ru 3.16, 8 Si 3.42
Si: 0.2500 0.7500 0.5000  4 Ru 2.42
Si: 0.7500 0.2500 0.5000  4 Ru 2.42
Ru: 0.3735 0.3735 0.0000  4 Si 2.42
Ru: 0.6265 0.6265 0.0000  4 Si 2.42

Computed properties:
Space-group type = No. 139


--- 2 ---
An optimized crystal structure of KSi2Ru2, computed with GGA-PBE.

abc: 7.5165 7.5165 2.7945
angles: 90.00 90.00 90.00
With the nearest neighbours (Å) after each atom.
Sites, in units of the cell vectors:
K: 0.0000 0.0000 0.0000  2 K 2.79, 4 Ru 2.90
K: 0.5000 0.5000 0.0000  2 K 2.79, 4 Ru 2.90
Si: 0.1399 0.3601 0.5000  6 Ru 2.53-2.72, 2 Si 2.79
Si: 0.3601 0.8601 0.5000  6 Ru 2.53-2.72, 2 Si 2.79
Si: 0.6399 0.1399 0.5000  6 Ru 2.53-2.72, 2 Si 2.79
Si: 0.8601 0.6399 0.5000  6 Ru 2.53-2.72, 2 Si 2.79
Ru: 0.1404 0.6404 0.0000  6 Si 2.53-2.72, 2 Ru 2.79
Ru: 0.3596 0.1404 0.0000  6 Si 2.53-2.72, 2 Ru 2.79
Ru: 0.6404 0.8596 0.0000  6 Si 2.53-2.72, 2 Ru 2.79
Ru: 0.8596 0.3596 0.0000  6 Si 2.53-2.72, 2 Ru 2.79

Computed properties:
Space-group type = No. 127


Quick one: most stable of them? 2


--- 1 ---
An optimized crystal structure of KSi2Ru, computed with GGA-PBE.

abc: 9.2791 9.2791 9.2791
angles: 18.88 18.88 18.88
With the nearest neighbours (Å) after each atom.
Sites, in units of the cell vectors:
K: 0.0000 0.0000 0.0000  6 K 3.04, 3 Si 3.32, 3 Ru 3.32
Si: 0.2302 0.2302 0.2302  3 Si 2.52
Si: 0.4976 0.4976 0.4976  3 Ru 2.42, 3 Si 2.52
Ru: 0.7699 0.7699 0.7699  3 Si 2.42

Computed properties:
Space-group type = No. 160


--- 2 ---
An optimized crystal structure of KSi2Ru, computed with GGA-PBE.

abc: 4.2774 4.2774 7.7120
angles: 114.30 114.30 42.22
With the nearest neighbours (Å) after each atom.
Sites, in units of the cell vectors:
K: 0.0000 0.0000 0.0000  2 K 3.08, 4 Si 3.31-3.43
Si: 0.5735 0.5735 0.6416  3 Ru 2.46-2.49, 2 Si 2.50
Si: 0.8803 0.8803 0.3725  3 Ru 2.47-2.49, 2 Si 2.50
Ru: 0.2274 0.2274 0.5089  6 Si 2.46-2.49

Computed properties:
Space-group type = No. 8


Quick one: most stable of them? 2


--- 1 ---
An optimized crystal structure of KSi2Ru, computed with GGA-PBE.

abc: 3.0028 3.8021 7.4385
angles: 90.00 95.62 90.00
With the nearest neighbours (Å) after each atom.
Sites, in units of the cell vectors:
K: 0.0000 0.0000 0.0000  2 K 3.00
Si: 0.3677 0.0000 0.4431  4 Ru 2.43-2.44, 2 Si 2.57
Si: 0.4202 0.5000 0.6769  2 Ru 2.47, 2 Si 2.57
Ru: 0.8563 0.5000 0.4120  6 Si 2.43-2.47

Computed properties:
Space-group type = No. 6


--- 2 ---
An optimized crystal structure of KSi2Ru, computed with GGA-PBE.

abc: 4.0594 4.0594 4.2901
angles: 90.00 90.00 90.00
With the nearest neighbours (Å) after each atom.
Sites, in units of the cell vectors:
K: 0.0000 0.0000 0.0000  4 Ru 2.87, 8 Si 2.95
Si: 0.0000 0.5000 0.5000  4 Si 2.87, 4 K 2.95, 4 Ru 2.95
Si: 0.5000 0.0000 0.5000  4 Si 2.87, 4 K 2.95, 4 Ru 2.95
Ru: 0.5000 0.5000 0.0000  4 K 2.87, 8 Si 2.95

Computed properties:
Space-group type = No. 123


Quick one: most stable of them? 1


--- 1 ---
An optimized crystal structure of KSi2Ru, computed with GGA-PBE.

abc: 3.2624 4.4583 4.8735
angles: 90.00 90.00 90.00
With the nearest neighbours (Å) after each atom.
Sites, in units of the cell vectors:
K: 0.0000 0.0000 0.0000  4 Si 2.76, 4 Ru 2.93
Si: 0.0000 0.5000 0.5000  4 Ru 2.76, 4 Si 2.93
Si: 0.5000 0.5000 0.0000  4 K 2.76, 4 Si 2.93
Ru: 0.5000 0.0000 0.5000  4 Si 2.76, 4 K 2.93

Computed properties:
Space-group type = No. 47


--- 2 ---
An optimized crystal structure of KSi2Ru, computed with GGA-PBE.

abc: 9.3458 9.3458 9.3458
angles: 19.11 19.11 19.11
With the nearest neighbours (Å) after each atom.
Sites, in units of the cell vectors:
K: 0.0000 0.0000 0.0000  6 K 3.10, 6 Si 3.38
Si: 0.2294 0.2294 0.2294  3 Ru 2.49
Si: 0.7706 0.7706 0.7706  3 Ru 2.49
Ru: 0.5000 0.5000 0.5000  6 Si 2.49

Computed properties:
Space-group type = No. 166


Quick one: most stable of them? 2


--- 1 ---
An optimized crystal structure of KSiRu3, computed with GGA-PBE.

abc: 4.6386 4.6386 4.6386
angles: 90.00 90.00 90.00
With the nearest neighbours (Å) after each atom.
Sites, in units of the cell vectors:
K: 0.0000 0.0000 0.0000  6 Ru 2.32
Si: 0.5000 0.5000 0.5000  12 Ru 3.28
Ru: 0.0000 0.0000 0.5000  2 K 2.32
Ru: 0.0000 0.5000 0.0000  2 K 2.32
Ru: 0.5000 0.0000 0.0000  2 K 2.32

Computed properties:
Space-group type = No. 221


--- 2 ---
An optimized crystal structure of KSiRu3, computed with GGA-PBE.

abc: 4.5743 4.5743 4.5743
angles: 90.00 90.00 90.00
With the nearest neighbours (Å) after each atom.
Sites, in units of the cell vectors:
K: 0.0000 0.0000 0.0000  12 Ru 3.23
Si: 0.5000 0.5000 0.5000  6 Ru 2.29
Ru: 0.0000 0.5000 0.5000  2 Si 2.29
Ru: 0.5000 0.0000 0.5000  2 Si 2.29
Ru: 0.5000 0.5000 0.0000  2 Si 2.29

Computed properties:
Space-group type = No. 221


Quick one: most stable of them? 2


--- 1 ---
An optimized crystal structure of KSiRu, computed with GGA-PBE.

abc: 6.5772 6.5772 6.5772
angles: 151.42 151.42 40.86
With the nearest neighbours (Å) after each atom.
Sites, in units of the cell vectors:
K: 0.0000 0.0000 0.0000  4 K 3.25, 5 Si 3.40-3.60, 5 Ru 3.40-3.59
Si: 0.7245 0.7245 0.0000  4 Ru 2.38
Ru: 0.2758 0.2758 0.0000  4 Si 2.38

Computed properties:
Space-group type = No. 107


--- 2 ---
An optimized crystal structure of KSiRu, computed with GGA-PBE.

abc: 4.7658 4.7658 4.7658
angles: 60.00 60.00 60.00
With the nearest neighbours (Å) after each atom.
Sites, in units of the cell vectors:
K: 0.0000 0.0000 0.0000  4 Si 2.92, 4 Ru 2.92
Si: 0.7500 0.7500 0.7500  4 K 2.92
Ru: 0.2500 0.2500 0.2500  4 K 2.92

Computed properties:
Space-group type = No. 216


--- 3 ---
An optimized crystal structure of KSiRu, computed with GGA-PBE.

abc: 4.9570 4.9570 2.6470
angles: 90.00 90.00 120.00
With the nearest neighbours (Å) after each atom.
Sites, in units of the cell vectors:
K: 0.0000 0.0000 0.0000  2 K 2.65
Si: 0.3333 0.6667 0.5000  2 Si 2.65, 3 Ru 2.86
Ru: 0.6667 0.3333 0.5000  2 Ru 2.65, 3 Si 2.86

Computed properties:
Space-group type = No. 187


Quick one: most stable of them? 1